Compound: NaV3S2O14
Source: Alexandria
Functional: GGA+U
Structure: relaxed

Geometry as POSCAR:
```
NaV3S2O14
1.0
-1.9668 -7.1463 0.0786
0.9133 -4.4270 5.8747
-5.6245 -2.6479 4.0371
Na V S O
1 3 2 14
Direct
0.0000 0.0000 0.0000
0.5000 0.9561 0.0439
0.0439 0.5000 0.9561
0.9561 0.0439 0.5000
0.7019 0.7019 0.7019
0.2981 0.2981 0.2981
0.6254 0.6254 0.6254
0.3746 0.3746 0.3746
0.4982 0.8394 0.8566
0.8566 0.4982 0.8394
0.8394 0.8566 0.4982
0.5018 0.1434 0.1606
0.1606 0.5018 0.1434
0.1434 0.1606 0.5018
0.7339 0.7257 0.1047
0.1047 0.7339 0.7257
0.7257 0.1047 0.7339
0.2743 0.2661 0.8953
0.8953 0.2743 0.2661
0.2661 0.8953 0.2743
```

Results
DOS(E_F), states/eV/cell: 0.00
Electronic total energy, eV for the cell shown: -133.16
Space group: R32 (155)